1.
SbIr2Rh: optimized geometry, PBE.

Cell and atoms, written as CIF:
```
data_SbIr2Rh
_chemical_formula_sum 'Sb1 Ir2 Rh1'
_cell_length_a 4.741
_cell_length_b 4.741
_cell_length_c 4.916
_cell_angle_alpha 78.50
_cell_angle_beta 78.50
_cell_angle_gamma 36.61
_space_group_name_H-M_alt 'P 1'
_space_group_IT_number 1
loop_
_space_group_symop_operation_xyz
'x,y,z'
loop_
_atom_site_label
_atom_site_type_symbol
_atom_site_fract_x
_atom_site_fract_y
_atom_site_fract_z
Sb1 Sb 0.749 0.749 0.737
Ir1 Ir 0.001 0.001 0.026
Ir2 Ir 0.252 0.252 0.238
Rh1 Rh 0.497 0.497 0.499
```

Values from the calculation:
* Fermi-level density of states: 4.8 states/eV/f.u.
* size of the total moment: 0.0000 μB per atom
* raw formation energy: 136 meV per atom
* VASP energy: -7.1633 eV per atom
* crystal system: monoclinic


2.
SbIr2Rh: optimized geometry, PBE.

Cell and atoms, written as CIF:
```
data_SbIr2Rh
_chemical_formula_sum 'Sb1 Ir2 Rh1'
_cell_length_a 3.966
_cell_length_b 2.921
_cell_length_c 5.739
_cell_angle_alpha 79.27
_cell_angle_beta 90.00
_cell_angle_gamma 90.00
_space_group_name_H-M_alt 'P 1'
_space_group_IT_number 1
loop_
_space_group_symop_operation_xyz
'x,y,z'
loop_
_atom_site_label
_atom_site_type_symbol
_atom_site_fract_x
_atom_site_fract_y
_atom_site_fract_z
Sb1 Sb 0.500 0.376 0.720
Ir1 Ir 0.000 0.120 0.034
Ir2 Ir 0.500 0.551 0.236
Rh1 Rh 0.000 0.953 0.509
```

Values from the calculation:
* Fermi-level density of states: 4.2 states/eV/f.u.
* size of the total moment: 0.0000 μB per atom
* raw formation energy: 133 meV per atom
* VASP energy: -7.1662 eV per atom
* crystal system: monoclinic